Entry from Alexandria: an optimized crystal structure of TbPrInPb (PBE-GGA).

- DFT total energy: -4.401 eV/atom
- Energy above the most stable polymorph in this dataset: 42 meV/atom
- Total magnetic moment: 0.00 μB per formula unit
- DOS at the Fermi energy: 2.7 states/eV/cell
- Formation energy from the elements: -42.18 kJ per mole of atoms
- V: 117.19 Å³/cell

a = 5.493 Å, b = 5.493 Å, c = 5.493 Å
α = 60.00°, β = 60.00°, γ = 60.00°
Positions (direct):
Tb: 0.000 0.000 0.000
Pr: 0.500 0.500 0.500
In: 0.250 0.250 0.250
Pb: 0.750 0.750 0.750

***

Entry from Alexandria: an optimized crystal structure of TbPrInPb (PBE-GGA).

- DFT total energy: -4.444 eV/atom
- Energy above the most stable polymorph in this dataset: 0 meV/atom
- Total magnetic moment: 0.00 μB per formula unit
- DOS at the Fermi energy: 3.4 states/eV/cell
- Formation energy from the elements: -46.27 kJ per mole of atoms
- V: 115.64 Å³/cell

a = 5.758 Å, b = 5.758 Å, c = 5.758 Å
α = 127.83°, β = 127.83°, γ = 76.91°
Positions (direct):
Tb: 0.000 0.000 0.000
Pr: 0.500 0.500 0.000
In: 0.750 0.250 0.500
Pb: 0.250 0.750 0.500

***

Entry from Alexandria: an optimized crystal structure of Pr2In3Te6Pb (PBE-GGA).

- DFT total energy: -4.117 eV/atom
- Total magnetic moment: 0.00 μB per formula unit
- Formation energy from raw total energies: -0.756 eV/atom
- DOS at the Fermi energy: 5.1 states/eV/cell
- V: 422.41 Å³/cell

a = 10.493 Å, b = 10.493 Å, c = 9.456 Å
α = 105.15°, β = 105.15°, γ = 24.90°
Positions (direct):
Pr: 0.167 0.167 0.331
Pr: 0.833 0.833 0.669
In: 0.166 0.166 0.833
In: 0.500 0.500 0.500
In: 0.834 0.834 0.167
Te: 0.006 0.006 0.258
Te: 0.331 0.331 0.427
Te: 0.333 0.333 0.906
Te: 0.667 0.667 0.094
Te: 0.669 0.669 0.573
Te: 0.994 0.994 0.742
Pb: 0.500 0.500 0.000

***

Entry from Alexandria: an optimized crystal structure of PrIn2Te4Pb (PBE-GGA).

- DFT total energy: -3.953 eV/atom
- Total magnetic moment: 0.00 μB per formula unit
- Formation energy from raw total energies: -0.636 eV/atom
- DOS at the Fermi energy: 4.2 states/eV/cell
- V: 277.31 Å³/cell

a = 7.978 Å, b = 4.516 Å, c = 8.135 Å
α = 90.00°, β = 108.89°, γ = 90.00°
Positions (direct):
Pr: 0.000 0.000 0.000
In: 0.000 0.500 0.500
In: 0.500 0.000 0.500
Te: 0.239 0.000 0.750
Te: 0.239 0.500 0.243
Te: 0.761 0.000 0.250
Te: 0.761 0.500 0.757
Pb: 0.500 0.500 0.000

***

Entry from Alexandria: an optimized crystal structure of Pr4InTe2Pb (PBE-GGA).

- DFT total energy: -4.944 eV/atom
- Total magnetic moment: 0.00 μB per formula unit
- Formation energy from raw total energies: -0.963 eV/atom
- DOS at the Fermi energy: 4.1 states/eV/cell
- V: 268.82 Å³/cell

a = 7.648 Å, b = 4.511 Å, c = 8.230 Å
α = 90.00°, β = 108.80°, γ = 90.00°
Positions (direct):
Pr: 0.249 0.000 0.247
Pr: 0.249 0.500 0.749
Pr: 0.751 0.000 0.753
Pr: 0.751 0.500 0.251
In: 0.500 0.500 0.500
Te: 0.000 0.500 0.000
Te: 0.500 0.000 0.000
Pb: 0.000 0.000 0.500

***

Entry from Alexandria: an optimized crystal structure of PrThInPb (PBE-GGA).

- DFT total energy: -4.948 eV/atom
- Total magnetic moment: 0.00 μB per formula unit
- DOS at the Fermi energy: 5.4 states/eV/cell
- Formation energy from the elements: -27.60 kJ per mole of atoms
- V: 121.07 Å³/cell

a = 5.553 Å, b = 5.553 Å, c = 5.553 Å
α = 60.00°, β = 60.00°, γ = 60.00°
Positions (direct):
Pr: 0.000 0.000 0.000
Th: 0.500 0.500 0.500
In: 0.250 0.250 0.250
Pb: 0.750 0.750 0.750

***

Entry from Alexandria: an optimized crystal structure of InPtPb2 (PBE-GGA).

- DFT total energy: -4.137 eV/atom
- Total magnetic moment: 0.00 μB per formula unit
- DOS at the Fermi energy: 3.9 states/eV/cell
- Formation energy from the elements: -8.54 kJ per mole of atoms
- V: 231.24 Å³/cell

a = 7.105 Å, b = 7.105 Å, c = 7.105 Å
α = 98.09°, β = 98.09°, γ = 135.93°
Positions (direct):
In: 0.000 0.000 0.000
In: 0.750 0.250 0.500
Pt: 0.250 0.750 0.500
Pt: 0.500 0.500 0.000
Pb: 0.219 0.625 0.094
Pb: 0.375 0.469 0.594
Pb: 0.531 0.125 0.906
Pb: 0.875 0.781 0.406

***

Entry from Alexandria: an optimized crystal structure of InPt2Pb (PBE-GGA).

- DFT total energy: -4.601 eV/atom
- Total magnetic moment: 0.00 μB per formula unit
- DOS at the Fermi energy: 1.8 states/eV/cell
- Formation energy from the elements: 3.01 kJ per mole of atoms
- V: 80.39 Å³/cell

a = 4.844 Å, b = 4.844 Å, c = 4.844 Å
α = 60.00°, β = 60.00°, γ = 60.00°
Positions (direct):
In: 0.000 0.000 0.000
Pt: 0.500 0.500 0.500
Pt: 0.750 0.750 0.750
Pb: 0.250 0.250 0.250

***

Entry from Alexandria: an optimized crystal structure of InPt2Pb (PBE-GGA).

- DFT total energy: -4.731 eV/atom
- Total magnetic moment: 0.00 μB per formula unit
- DOS at the Fermi energy: 1.7 states/eV/cell
- Formation energy from the elements: -9.51 kJ per mole of atoms
- V: 94.82 Å³/cell

a = 6.430 Å, b = 6.430 Å, c = 6.430 Å
α = 39.03°, β = 39.03°, γ = 39.03°
Positions (direct):
In: 0.000 0.000 0.000
Pt: 0.450 0.450 0.450
Pt: 0.727 0.727 0.727
Pb: 0.198 0.198 0.198

***

Entry from Alexandria: an optimized crystal structure of InPtPb2 (PBE-GGA).

- DFT total energy: -4.100 eV/atom
- Total magnetic moment: 0.00 μB per formula unit
- DOS at the Fermi energy: 2.0 states/eV/cell
- Formation energy from the elements: -4.96 kJ per mole of atoms
- V: 103.91 Å³/cell

a = 6.665 Å, b = 6.665 Å, c = 6.665 Å
α = 149.68°, β = 135.61°, γ = 54.70°
Positions (direct):
In: 0.000 0.000 0.000
Pt: 0.813 0.313 0.500
Pb: 0.307 0.807 0.500
Pb: 0.609 0.609 0.000

***

Entry from Alexandria: an optimized crystal structure of InPtPb3 (PBE-GGA).

- DFT total energy: -3.841 eV/atom
- Energy above the most stable polymorph in this dataset: 0 meV/atom
- Total magnetic moment: 0.00 μB per formula unit
- DOS at the Fermi energy: 4.9 states/eV/cell
- Formation energy from the elements: 13.49 kJ per mole of atoms
- V: 162.72 Å³/cell

a = 5.459 Å, b = 5.459 Å, c = 5.459 Å
α = 90.00°, β = 90.00°, γ = 90.00°
Positions (direct):
In: 0.000 0.000 0.000
Pt: 0.500 0.500 0.500
Pb: 0.000 0.500 0.500
Pb: 0.500 0.000 0.500
Pb: 0.500 0.500 0.000

***

Entry from Alexandria: an optimized crystal structure of InPt2Pb (PBE-GGA).

- DFT total energy: -4.839 eV/atom
- Total magnetic moment: 0.00 μB per formula unit
- DOS at the Fermi energy: 1.2 states/eV/cell
- Formation energy from the elements: -19.95 kJ per mole of atoms
- V: 82.08 Å³/cell

a = 3.827 Å, b = 3.827 Å, c = 5.604 Å
α = 90.00°, β = 90.00°, γ = 90.00°
Positions (direct):
In: 0.000 0.000 0.000
Pt: 0.000 0.000 0.512
Pt: 0.500 0.500 0.854
Pb: 0.500 0.500 0.357

***

Entry from Alexandria: an optimized crystal structure of InPtPb2 (PBE-GGA).

- DFT total energy: -3.967 eV/atom
- Total magnetic moment: 0.00 μB per formula unit
- DOS at the Fermi energy: 1.9 states/eV/cell
- Formation energy from the elements: 7.91 kJ per mole of atoms
- V: 99.34 Å³/cell

a = 4.757 Å, b = 4.757 Å, c = 4.391 Å
α = 90.08°, β = 90.08°, γ = 91.55°
Positions (direct):
In: 0.000 0.000 0.000
Pt: 0.500 0.500 0.000
Pb: 0.000 0.500 0.500
Pb: 0.500 0.000 0.500

***

Entry from Alexandria: an optimized crystal structure of InPtPb2 (PBE-GGA).

- DFT total energy: -4.198 eV/atom
- Total magnetic moment: 0.00 μB per formula unit
- DOS at the Fermi energy: 1.7 states/eV/cell
- Formation energy from the elements: -14.34 kJ per mole of atoms
- V: 109.00 Å³/cell

a = 5.102 Å, b = 5.102 Å, c = 6.838 Å
α = 111.30°, β = 111.30°, γ = 41.66°
Positions (direct):
In: 0.000 0.000 0.000
Pt: 0.286 0.286 0.000
Pb: 0.627 0.627 0.652
Pb: 0.810 0.810 0.338

***

Entry from Alexandria: an optimized crystal structure of InPtPb2 (PBE-GGA).

- DFT total energy: -4.181 eV/atom
- Total magnetic moment: 0.00 μB per formula unit
- DOS at the Fermi energy: 2.0 states/eV/cell
- Formation energy from the elements: -12.76 kJ per mole of atoms
- V: 99.96 Å³/cell

a = 3.411 Å, b = 3.440 Å, c = 8.519 Å
α = 90.00°, β = 90.00°, γ = 90.00°
Positions (direct):
In: 0.000 0.000 0.000
Pt: 0.500 0.500 0.171
Pb: 0.000 0.000 0.391
Pb: 0.500 0.500 0.725

***

Entry from Alexandria: an optimized crystal structure of InPt2Pb (PBE-GGA).

- DFT total energy: -4.746 eV/atom
- Total magnetic moment: 0.00 μB per formula unit
- DOS at the Fermi energy: 0.9 states/eV/cell
- Formation energy from the elements: -11.01 kJ per mole of atoms
- V: 78.65 Å³/cell

a = 5.439 Å, b = 5.439 Å, c = 5.439 Å
α = 135.23°, β = 135.23°, γ = 65.17°
Positions (direct):
In: 0.000 0.000 0.000
Pt: 0.500 0.500 0.000
Pt: 0.750 0.250 0.500
Pb: 0.250 0.750 0.500

***

Entry from Alexandria: an optimized crystal structure of InPt2Pb (PBE-GGA).

- DFT total energy: -4.909 eV/atom
- Total magnetic moment: 0.00 μB per formula unit
- DOS at the Fermi energy: 2.0 states/eV/cell
- Formation energy from the elements: -26.75 kJ per mole of atoms
- V: 82.27 Å³/cell

a = 4.200 Å, b = 5.710 Å, c = 5.710 Å
α = 36.93°, β = 90.00°, γ = 90.00°
Positions (direct):
In: 0.000 0.000 0.000
Pt: 0.000 0.729 0.729
Pt: 0.500 0.557 0.557
Pb: 0.500 0.298 0.298

***

Entry from Alexandria: an optimized crystal structure of InPt2Pb (PBE-GGA).

- DFT total energy: -4.851 eV/atom
- Total magnetic moment: 0.00 μB per formula unit
- DOS at the Fermi energy: 1.6 states/eV/cell
- Formation energy from the elements: -21.11 kJ per mole of atoms
- V: 80.01 Å³/cell

a = 3.378 Å, b = 3.378 Å, c = 7.011 Å
α = 90.00°, β = 90.00°, γ = 90.00°
Positions (direct):
In: 0.000 0.000 0.000
Pt: 0.500 0.500 0.213
Pt: 0.500 0.500 0.787
Pb: 0.000 0.000 0.500

***

Entry from Alexandria: an optimized crystal structure of InPt2Pb (PBE-GGA).

- DFT total energy: -4.543 eV/atom
- Total magnetic moment: 0.00 μB per formula unit
- DOS at the Fermi energy: 2.6 states/eV/cell
- Formation energy from the elements: 8.64 kJ per mole of atoms
- V: 234.49 Å³/cell

a = 7.405 Å, b = 7.405 Å, c = 7.405 Å
α = 129.69°, β = 129.69°, γ = 73.90°
Positions (direct):
In: 0.000 0.000 0.000
In: 0.750 0.250 0.500
Pt: 0.118 0.625 0.993
Pt: 0.375 0.368 0.493
Pt: 0.632 0.125 0.007
Pt: 0.875 0.882 0.507
Pb: 0.250 0.750 0.500
Pb: 0.500 0.500 0.000

***

Entry from Alexandria: an optimized crystal structure of InPt2Pb (PBE-GGA).

- DFT total energy: -5.018 eV/atom
- Total magnetic moment: 0.00 μB per formula unit
- DOS at the Fermi energy: 5.7 states/eV/cell
- Formation energy from the elements: -37.21 kJ per mole of atoms
- V: 350.10 Å³/cell

a = 8.624 Å, b = 7.292 Å, c = 5.568 Å
α = 90.00°, β = 90.00°, γ = 90.00°
Positions (direct):
In: 0.123 0.085 0.250
In: 0.123 0.415 0.750
In: 0.877 0.585 0.250
In: 0.877 0.915 0.750
Pt: 0.117 0.750 0.000
Pt: 0.117 0.750 0.500
Pt: 0.367 0.250 0.000
Pt: 0.367 0.250 0.500
Pt: 0.633 0.750 0.000
Pt: 0.633 0.750 0.500
Pt: 0.883 0.250 0.000
Pt: 0.883 0.250 0.500
Pb: 0.372 0.588 0.250
Pb: 0.372 0.912 0.750
Pb: 0.628 0.088 0.250
Pb: 0.628 0.412 0.750